No. 1
DFT (PBE) results for a relaxed CdAgO3 crystal.

- Final energy: -3.89 eV/atom

Cell: 5.6712 5.6712 13.0766 Å, 90.00 90.00 120.00°
Space group R-3c (No. 167, hexagonal axes)
Inequivalent atoms, fractional coordinates:
1 Cd 0.0000 0.0000 0.2500
2 Ag 0.0000 0.0000 0.0000
3 O 0.0000 0.3866 0.2500



No. 2
DFT (PBE) results for a relaxed YNbCo2Bi2 crystal.

- Final energy: -6.76 eV/atom
- Size of the total moment: 0.00 μB per formula unit

Cell: 4.427 8.859 6.277 Å, 90.00 90.00 90.00°
Space group Pmn2_1 (No. 31)
Inequivalent atoms, fractional coordinates:
1 Y 0.000 0.125 0.000
2 Nb 0.000 0.622 0.027
3 Co 0.000 0.391 0.282
4 Co 0.000 0.847 0.237
5 Bi 0.000 0.131 0.498
6 Bi 0.000 0.622 0.532



No. 3
DFT (PBE) results for a relaxed LiTaGa crystal.

- Final energy: -4.73 eV/atom
- Size of the total moment: 0.01 μB per formula unit

Cell: 6.130 6.130 6.130 Å, 90.00 90.00 90.00°
Space group F-43m (No. 216)
Inequivalent atoms, fractional coordinates:
1 Li 0.000 0.000 0.000
2 Ta 0.250 0.250 0.750
3 Ga 0.000 0.000 0.500



No. 4
DFT (PBE) results for a relaxed Lu2Re crystal.

- Final energy: -5.31 eV/atom
- Size of the total moment: 0.93 μB per formula unit

Cell: 11.547 11.547 11.547 Å, 90.00 90.00 90.00°
Space group Fd-3m (No. 227, origin choice 2)
Inequivalent atoms, fractional coordinates:
1 Lu 0.000 0.000 0.000
2 Re 0.125 0.125 0.125



No. 5
DFT (PBE) results for a relaxed Tm2AgGe crystal.

- Final energy: -4.67 eV/atom
- Size of the total moment: 0.01 μB per formula unit

Cell: 4.274 4.023 10.870 Å, 90.00 90.00 90.00°
Space group Amm2 (No. 38)
Inequivalent atoms, fractional coordinates:
1 Tm 0.000 0.000 0.000
2 Tm 0.500 0.000 0.278
3 Ag 0.000 0.000 0.719
4 Ge 0.500 0.000 0.551



No. 6
DFT (PBE) results for a relaxed RbScCuSe3 crystal.

- Final energy: -4.70 eV/atom
- Size of the total moment: 0.00 μB per formula unit

Cell: 9.290 3.891 9.875 Å, 90.00 114.95 90.00°
Space group P2_1/m (No. 11)
Inequivalent atoms, fractional coordinates:
1 Rb 0.215 0.250 0.242
2 Sc 0.327 0.750 0.855
3 Cu 0.083 0.250 0.597
4 Se 0.126 0.250 0.856
5 Se 0.209 0.750 0.542
6 Se 0.472 0.750 0.155



No. 7
DFT (PBE) results for a relaxed FeB4 crystal.

- Final energy: -6.61 eV/atom
- Size of the total moment: 0.00 μB per formula unit

Cell: 4.914 4.914 2.702 Å, 90.00 90.00 90.00°
Space group I4/m (No. 87)
Inequivalent atoms, fractional coordinates:
1 Fe 0.000 0.000 0.000
2 B 0.108 0.340 0.500



No. 8
DFT (PBE) results for a relaxed SrNd2 crystal.

- Final energy: -1.13 eV/atom
- Size of the total moment: 3.21 μB per formula unit

Cell: 13.754 13.754 13.754 Å, 90.00 90.00 90.00°
Space group Fd-3m (No. 227, origin choice 2)
Inequivalent atoms, fractional coordinates:
1 Sr 0.125 0.125 0.125
2 Nd 0.000 0.000 0.000



No. 9
DFT (PBE) results for a relaxed TbY3C2Se2 crystal.

- Final energy: -7.33 eV/atom
- Size of the total moment: 0.00 μB per formula unit

Cell: 3.7690 3.7690 13.3249 Å, 90.00 90.00 120.00°
Space group P3m1 (No. 156)
Inequivalent atoms, fractional coordinates:
1 Tb 0.0000 0.0000 0.0000
2 Y 0.0000 0.0000 0.2994
3 Y 0.3333 0.6667 0.4999
4 Y 0.3333 0.6667 0.7992
5 C 0.6667 0.3333 0.3998
6 C 0.6667 0.3333 0.8997
7 Se 0.0000 0.0000 0.6497
8 Se 0.3333 0.6667 0.1499



No. 10
DFT (PBE) results for a relaxed Tm3Bi2S crystal.

- Final energy: -5.38 eV/atom
- Size of the total moment: 0.01 μB per formula unit

Cell: 4.2247 4.2247 10.4229 Å, 90.00 90.00 120.00°
Space group P-3m1 (No. 164)
Inequivalent atoms, fractional coordinates:
1 Tm 0.0000 0.0000 0.0000
2 Tm 0.3333 0.6667 0.3626
3 Bi 0.3333 0.6667 0.8193
4 S 0.0000 0.0000 0.5000



No. 11
DFT (PBE) results for a relaxed TlCdTe crystal.

- Final energy: -2.25 eV/atom

Cell: 7.341 7.341 7.341 Å, 90.00 90.00 90.00°
Space group F-43m (No. 216)
Inequivalent atoms, fractional coordinates:
1 Tl 0.000 0.000 0.000
2 Cd 0.250 0.250 0.750
3 Te 0.000 0.000 0.500



No. 12
DFT (PBE) results for a relaxed NaNdFeSe3 crystal.

- Final energy: -5.25 eV/atom
- Size of the total moment: 4.00 μB per formula unit

Cell: 11.454 4.210 12.112 Å, 90.00 90.00 90.00°
Space group Pnma (No. 62)
Inequivalent atoms, fractional coordinates:
1 Na 0.172 0.250 0.002
2 Nd 0.018 0.250 0.681
3 Fe 0.249 0.250 0.288
4 Se 0.054 0.750 0.854
5 Se 0.113 0.250 0.440
6 Se 0.215 0.750 0.188